Record 1
DFT (PBE) results for an optimized crystal structure of PmMgAl2Pd2.

Lattice parameters (Å, degrees): 4.4522 4.4522 6.7774 90.00 90.00 120.00
Closest atoms and distances in Å follow each position.
Element x y z (fractional)
Pd (0.6667, 0.3333, 0.7004)  4 Al 2.57-2.70
Pd (0.3333, 0.6667, 0.2996)  4 Al 2.57-2.70
Al (0.3333, 0.6667, 0.6973)  4 Pd 2.57-2.70
Al (0.6667, 0.3333, 0.3027)  4 Pd 2.57-2.70
Pm (0.0000, 0.0000, 0.0000)  6 Pd 3.28, 6 Al 3.29, 2 Mg 3.39
Mg (0.0000, 0.0000, 0.5000)  6 Al 2.90, 6 Pd 2.91

Values from the calculation:
Its formation energy is -0.7180 eV per atom. The value obtained for the calculated total energy is -4.754 eV/atom. Its space-group type is P-3m1 (164).

Record 2
DFT (PBE) results for an optimized crystal structure of Sc3Zn8.

Lattice parameters (Å, degrees): 3.1806 4.3680 13.7663 99.13 96.63 90.00
Closest atoms and distances in Å follow each position.
Element x y z (fractional)
Sc (0.1411, 0.6411, 0.2822)  12 Zn 2.95-3.02, 2 Sc 3.18
Sc (0.0000, 0.0000, 0.0000)  12 Zn 2.96-2.98, 2 Sc 3.18
Sc (0.8589, 0.3589, 0.7178)  12 Zn 2.95-3.02, 2 Sc 3.18
Zn (0.6848, 0.1848, 0.3695)  5 Zn 2.49-2.67
Zn (0.7360, 0.7360, 0.4719)  8 Zn 2.59-2.81
Zn (0.2640, 0.2640, 0.5281)  8 Zn 2.59-2.81
Zn (0.5924, 0.0924, 0.1848)  3 Zn 2.49-2.51
Zn (0.5468, 0.5468, 0.0936)  3 Zn 2.51-2.53
Zn (0.4076, 0.9076, 0.8152)  3 Zn 2.49-2.51
Zn (0.4532, 0.4532, 0.9064)  3 Zn 2.51-2.53
Zn (0.3152, 0.8152, 0.6305)  5 Zn 2.49-2.67

Values from the calculation:
Its formation energy is -0.3124 eV per atom. The value obtained for the calculated total energy is -2.966 eV/atom. Its space-group type is Immm (71).

Record 3
DFT (PBE) results for an optimized crystal structure of PmCu2Pb.

Lattice parameters (Å, degrees): 3.9783 4.6215 4.6215 90.00 90.00 90.00
Closest atoms and distances in Å follow each position.
Element x y z (fractional)
Pm (0.5000, 0.5000, 0.5000)  8 Cu 3.05, 4 Pb 3.27
Cu (0.0000, 0.5000, 0.0000)  4 Pb 3.05, 4 Pm 3.05, 4 Cu 3.27
Cu (0.0000, 0.0000, 0.5000)  4 Pb 3.05, 4 Pm 3.05, 4 Cu 3.27
Pb (0.5000, 0.0000, 0.0000)  8 Cu 3.05, 4 Pm 3.27

Values from the calculation:
Its formation energy is -0.0562 eV per atom. The value obtained for the calculated total energy is -4.219 eV/atom. Its space-group type is P4/mmm (123).

Record 4
DFT (PBE) results for an optimized crystal structure of K3GaGe.

Lattice parameters (Å, degrees): 6.4621 6.4621 6.4621 90.00 90.00 90.00
Closest atoms and distances in Å follow each position.
Element x y z (fractional)
K (0.0000, 0.5000, 0.0000)  2 Ge 3.23
K (0.5000, 0.0000, 0.0000)  2 Ge 3.23
K (0.0000, 0.0000, 0.5000)  2 Ge 3.23
Ge (0.0000, 0.0000, 0.0000)  6 K 3.23
Ga (0.5000, 0.5000, 0.5000)  12 K 4.57

Values from the calculation:
Its formation energy is 0.4482 eV per atom. For the offset from the most stable computed form, the calculation gives 424 meV/atom. The value obtained for the calculated total energy is -1.739 eV/atom. Its space-group type is Pm-3m (221).

Record 5
DFT (PBE) results for an optimized crystal structure of Ac5NdTl3.

Lattice parameters (Å, degrees): 7.4067 10.1694 10.1668 120.01 90.00 90.00
Closest atoms and distances in Å follow each position.
Element x y z (fractional)
Tl (0.2500, 0.0000, 0.3390)  5 Ac 3.37-3.71
Tl (0.7500, 0.0000, 0.6610)  5 Ac 3.37-3.71
Tl (0.7500, 0.6608, 0.0000)  5 Ac 3.37-3.71
Tl (0.2500, 0.6610, 0.6610)  5 Ac 3.37-3.71
Tl (0.7500, 0.3390, 0.3390)  5 Ac 3.37-3.71
Tl (0.2500, 0.3392, 0.0000)  5 Ac 3.37-3.71
Nd (0.0000, 0.0000, 0.0000)  2 Nd 3.70, 6 Ac 3.77, 6 Tl 3.91-3.92
Nd (0.5000, 0.0000, 0.0000)  2 Nd 3.70, 6 Ac 3.77, 6 Tl 3.91-3.92
Ac (0.2500, 0.3232, 0.3230)  5 Tl 3.37-3.71, 2 Nd 3.77
Ac (0.5000, 0.3332, 0.6664)  8 Ac 3.70-3.91, 6 Tl 3.83-3.84
Ac (0.0000, 0.3332, 0.6664)  8 Ac 3.70-3.91, 6 Tl 3.83-3.84
Ac (0.2500, 0.0002, 0.6770)  5 Tl 3.37-3.71, 2 Nd 3.77
Ac (0.7500, 0.6768, 0.6770)  5 Tl 3.37-3.71, 2 Nd 3.77
Ac (0.0000, 0.6668, 0.3336)  8 Ac 3.70-3.91, 6 Tl 3.83-3.84
Ac (0.7500, 0.9998, 0.3230)  5 Tl 3.37-3.71, 2 Nd 3.77
Ac (0.2500, 0.6768, 0.0000)  5 Tl 3.37-3.71, 2 Nd 3.77
Ac (0.7500, 0.3232, 0.0000)  5 Tl 3.37-3.71, 2 Nd 3.77
Ac (0.5000, 0.6668, 0.3336)  8 Ac 3.70-3.91, 6 Tl 3.83-3.84

Values from the calculation:
Its formation energy is -0.2009 eV per atom. The value obtained for the calculated total energy is -3.802 eV/atom. Its space-group type is P6_3/mcm (193).

Record 6
DFT (PBE) results for an optimized crystal structure of LuPuTlCd.

Lattice parameters (Å, degrees): 5.3202 5.3202 5.3202 60.00 60.00 60.00
Closest atoms and distances in Å follow each position.
Element x y z (fractional)
Pu (0.5000, 0.5000, 0.5000)  4 Cd 3.26, 4 Tl 3.26
Cd (0.2500, 0.2500, 0.2500)  4 Lu 3.26, 4 Pu 3.26
Tl (0.7500, 0.7500, 0.7500)  4 Pu 3.26, 4 Lu 3.26
Lu (0.0000, 0.0000, 0.0000)  4 Tl 3.26, 4 Cd 3.26

Values from the calculation:
Its formation energy is -0.1164 eV per atom. The value obtained for the calculated total energy is -5.650 eV/atom. Its space-group type is F-43m (216).

Record 7
DFT (PBE) results for an optimized crystal structure of LiPt14W.

Lattice parameters (Å, degrees): 5.5939 5.5939 7.8622 90.00 90.00 90.00
Closest atoms and distances in Å follow each position.
Element x y z (fractional)
Pt (0.6258, 0.6258, 0.7420)  1 W 2.74, 10 Pt 2.74-2.84, 1 Li 2.75
Pt (0.3750, 0.3750, 0.0000)  12 Pt 2.80-2.84
Pt (0.1242, 0.6258, 0.7421)  1 W 2.74, 10 Pt 2.74-2.84, 1 Li 2.75
Pt (0.1242, 0.1242, 0.7420)  1 W 2.74, 10 Pt 2.74-2.84, 1 Li 2.75
Pt (0.6258, 0.6258, 0.2580)  1 W 2.74, 10 Pt 2.74-2.84, 1 Li 2.75
Pt (0.8750, 0.3750, 0.5000)  8 Pt 2.74, 2 Li 2.80, 2 W 2.80
Pt (0.6258, 0.1242, 0.2579)  1 W 2.74, 10 Pt 2.74-2.84, 1 Li 2.75
Pt (0.8750, 0.8750, 0.0000)  12 Pt 2.80-2.83
Pt (0.1242, 0.6258, 0.2579)  1 W 2.74, 10 Pt 2.74-2.84, 1 Li 2.75
Pt (0.1242, 0.1242, 0.2580)  1 W 2.74, 10 Pt 2.74-2.84, 1 Li 2.75
Pt (0.3750, 0.8750, 0.0000)  12 Pt 2.80-2.83
Pt (0.6258, 0.1242, 0.7421)  1 W 2.74, 10 Pt 2.74-2.84, 1 Li 2.75
Pt (0.3750, 0.8750, 0.5000)  8 Pt 2.74, 2 Li 2.80, 2 W 2.80
Pt (0.8750, 0.3750, 0.0000)  12 Pt 2.80-2.83
Li (0.3750, 0.3750, 0.5000)  12 Pt 2.75-2.80
W (0.8750, 0.8750, 0.5000)  12 Pt 2.74-2.80

Values from the calculation:
Its formation energy is -0.2153 eV per atom. The value obtained for the calculated total energy is -6.430 eV/atom. Its space-group type is P4/mmm (123).

Record 8
DFT (PBE) results for an optimized crystal structure of Ba2InHg3Pb4.

Lattice parameters (Å, degrees): 5.2790 5.2790 12.0349 90.00 90.00 90.00
Closest atoms and distances in Å follow each position.
Element x y z (fractional)
Pb (0.5000, 0.5000, 0.0000)  4 Hg 3.07
Pb (0.0000, 0.5000, 0.3708)  3 Hg 2.90-3.06, 2 In 3.06
Pb (0.5000, 0.0000, 0.6292)  3 Hg 2.90-3.06, 2 In 3.06
Pb (0.0000, 0.0000, 0.0000)  4 Hg 3.07
Hg (0.0000, 0.0000, 0.5000)  4 Pb 3.06
Hg (0.5000, 0.0000, 0.8705)  5 Pb 2.90-3.07
Hg (0.0000, 0.5000, 0.1295)  5 Pb 2.90-3.07
Ba (0.0000, 0.5000, 0.7438)  2 In 3.95, 6 Hg 3.95-4.03, 8 Pb 3.98-4.06
Ba (0.5000, 0.0000, 0.2562)  6 Hg 3.95-4.03, 2 In 3.95, 8 Pb 3.98-4.06
In (0.5000, 0.5000, 0.5000)  4 Pb 3.06

Values from the calculation:
Its formation energy is -0.2940 eV per atom. The value obtained for the calculated total energy is -2.526 eV/atom. Its space-group type is P-4m2 (115).